DFT (PBE-GGA) results for a relaxed TaMnAl3 crystal.

abc: 4.938 4.938 4.938
angles: 90.00 90.00 90.00
Fractional positions:
Ta: 0.000 0.000 0.000
Mn: 0.500 0.500 0.500
Al: 0.000 0.000 0.500
Al: 0.000 0.500 0.000
Al: 0.500 0.000 0.000

Calculated values
Total magnetization   0.4 μB per formula unit
Space-group type   Pm-3m (221)
ΔE_f   1.568 eV/atom
Energy above the most stable polymorph in this dataset   463 kJ/mol of formula units
Raw total energy   -4.88 eV per atom


DFT (PBE-GGA) results for a relaxed SrAg2Ir crystal.

abc: 3.022 3.022 30.285
angles: 90.00 90.00 120.00
Fractional positions:
Sr: 0.000 0.000 0.000
Sr: 0.333 0.667 0.667
Sr: 0.667 0.333 0.333
Ag: 0.000 0.000 0.241
Ag: 0.000 0.000 0.759
Ag: 0.333 0.667 0.425
Ag: 0.333 0.667 0.908
Ag: 0.667 0.333 0.092
Ag: 0.667 0.333 0.575
Ir: 0.000 0.000 0.500
Ir: 0.333 0.667 0.167
Ir: 0.667 0.333 0.833

Calculated values
Total magnetization   0.7 μB per formula unit
Space-group type   R-3m (166)
ΔE_f   0.697 eV/atom
Energy above the most stable polymorph in this dataset   244 kJ/mol of formula units
Raw total energy   -3.36 eV per atom


DFT (PBE-GGA) results for a relaxed Tb8CuHg2 crystal.

abc: 9.361 9.361 6.840
angles: 104.00 104.00 32.26
Fractional positions:
Tb: 0.022 0.022 0.275
Tb: 0.201 0.201 0.811
Tb: 0.343 0.343 0.531
Tb: 0.410 0.410 0.052
Tb: 0.590 0.590 0.948
Tb: 0.657 0.657 0.469
Tb: 0.799 0.799 0.189
Tb: 0.978 0.978 0.725
Cu: 0.500 0.500 0.500
Hg: 0.187 0.187 0.235
Hg: 0.813 0.813 0.765

Calculated values
Total magnetization   0.0 μB per formula unit
Space-group type   C2/m (12)
ΔE_f   -0.182 eV/atom
Raw total energy   -3.98 eV per atom